Below is a relaxed Er2TcI crystal, with properties calculated at the PBE level.

Summary:
**Calculated volume**: 25.25 Å³ per atom
**Energy above the lowest structure with this stoichiometry**: 0 meV per atom
**Energy relative to the elements, uncorrected**: -0.401 eV per atom
**Total magnetic moment**: 0.00 μB per formula unit
**Calculated total energy**: -22.64 eV for the cell shown

Cell: 3.529 3.529 8.110 Å, 90.00 90.00 90.00°
Atoms (fractional coordinates):
I: 0.500 0.500 0.500
Tc: 0.500 0.500 0.000
Er: 0.000 0.000 0.805
Er: 0.000 0.000 0.195